Below is crystalline Be2ZnRu at its relaxed geometry, with properties calculated at the PBEsol level.

Computed properties:
M_tot (μB per cell): 0.00
V (Å³ per cell): 42
E_form (eV/f.u.): -0.93
Density of states at the Fermi level (states/eV/f.u.): 1.17

Structure (POSCAR):
```
Be2ZnRu
1.0
2.992 0.000 0.000
0.000 3.734 0.000
0.000 0.000 3.734
Be Ru Zn
2 1 1
direct
0.000 0.000 0.500 Be
0.000 0.500 0.000 Be
0.500 0.500 0.500 Ru
0.500 0.000 0.000 Zn
```


Below is crystalline HoAgSn2 at its relaxed geometry, with properties calculated at the PBEsol level.

Computed properties:
M_tot (μB per cell): 0.00
V (Å³ per cell): 89
E_form (eV/f.u.): -1.91
Density of states at the Fermi level (states/eV/f.u.): 2.00

Structure (POSCAR):
```
HoAgSn2
1.0
-1.314 3.234 -2.487
-1.983 -2.973 -2.818
-3.852 0.286 2.408
Sn Ho Ag
2 1 1
direct
0.500 0.500 0.000 Sn
0.500 0.000 0.500 Sn
0.000 0.000 0.000 Ho
0.000 0.500 0.500 Ag
```


Below is crystalline MnAs2PbS at its relaxed geometry, with properties calculated at the PBEsol level.

Computed properties:
ΔE_f (raw) (kcal/mol of atoms): 3.727
M_tot (μB per cell): 0.00
V (Å³ per cell): 102
Density of states at the Fermi level (states/eV/f.u.): 2.26

Structure (POSCAR):
```
MnAs2PbS
1.0
-3.542 -2.587 -0.080
0.064 -0.224 4.381
-3.113 4.253 0.263
S Mn As Pb
1 1 2 1
direct
0.500 0.500 0.500 S
0.000 0.000 0.000 Mn
0.000 0.500 0.000 As
0.500 0.000 0.000 As
0.000 0.000 0.500 Pb
```


Below is crystalline Mn2AgAs at its relaxed geometry, with properties calculated at the PBEsol level.

Computed properties:
M_tot (μB per cell): 5.50
V (Å³ per cell): 57
E_form (eV/f.u.): 1.07
Density of states at the Fermi level (states/eV/f.u.): 2.52

Structure (POSCAR):
```
Mn2AgAs
1.0
-3.440 0.848 -0.260
0.062 -1.006 -4.095
0.750 -3.471 3.036
Mn Ag As
2 1 1
direct
0.729 0.729 0.457 Mn
0.271 0.271 0.543 Mn
0.500 0.000 0.000 Ag
0.000 0.500 0.000 As
```


Below is crystalline BaTa2Ni at its relaxed geometry, with properties calculated at the PBEsol level.

Computed properties:
M_tot (μB per cell): 0.00
V (Å³ per cell): 80
E_form (eV/f.u.): 2.55
Density of states at the Fermi level (states/eV/f.u.): 5.92

Structure (POSCAR):
```
BaTa2Ni
1.0
2.963 0.008 0.000
-0.121 2.961 0.000
0.000 0.000 9.168
Ta Ba Ni
2 1 1
direct
0.000 0.000 0.826 Ta
0.000 0.000 0.174 Ta
0.500 0.500 0.500 Ba
0.500 0.500 0.000 Ni
```


Below is crystalline KTa2Te at its relaxed geometry, with properties calculated at the PBEsol level.

Computed properties:
ΔE_f (raw) (kcal/mol of atoms): 21.279
M_tot (μB per cell): 0.46
V (Å³ per cell): 101
Density of states at the Fermi level (states/eV/f.u.): 3.52

Structure (POSCAR):
```
KTa2Te
1.0
-3.150 0.036 -0.012
-0.040 -4.770 -3.583
1.541 -0.867 6.104
Te K Ta
1 1 2
direct
0.462 0.462 0.925 Te
0.244 0.744 0.489 K
0.050 0.050 0.099 Ta
0.744 0.244 0.488 Ta
```


Q: Which value of V does entry 1 give?
A: 42 Å³ per cell


Copy entry 3 word for word.
Below is crystalline MnAs2PbS at its relaxed geometry, with properties calculated at the PBEsol level.

Computed properties:
ΔE_f (raw) (kcal/mol of atoms): 3.727
M_tot (μB per cell): 0.00
V (Å³ per cell): 102
Density of states at the Fermi level (states/eV/f.u.): 2.26

Structure (POSCAR):
```
MnAs2PbS
1.0
-3.542 -2.587 -0.080
0.064 -0.224 4.381
-3.113 4.253 0.263
S Mn As Pb
1 1 2 1
direct
0.500 0.500 0.500 S
0.000 0.000 0.000 Mn
0.000 0.500 0.000 As
0.500 0.000 0.000 As
0.000 0.000 0.500 Pb
```


Copy entry 5 word for word.
Below is crystalline BaTa2Ni at its relaxed geometry, with properties calculated at the PBEsol level.

Computed properties:
M_tot (μB per cell): 0.00
V (Å³ per cell): 80
E_form (eV/f.u.): 2.55
Density of states at the Fermi level (states/eV/f.u.): 5.92

Structure (POSCAR):
```
BaTa2Ni
1.0
2.963 0.008 0.000
-0.121 2.961 0.000
0.000 0.000 9.168
Ta Ba Ni
2 1 1
direct
0.000 0.000 0.826 Ta
0.000 0.000 0.174 Ta
0.500 0.500 0.500 Ba
0.500 0.500 0.000 Ni
```